K2TlAg after structural relaxation, computed with PBE-GGA.

```
K2TlAg
1.0
3.812 -4.513 0.000
3.812 4.513 0.000
0.000 0.000 4.259
K Tl Ag
2 1 1
direct
0.000 0.500 0.000
0.500 0.000 0.000
0.000 0.000 0.500
0.500 0.500 0.500
```

DFT formation energy = 0.070 eV per atom
Magnetization = 0.000 μB per cell
Space group = Cmmm (65)
Relative energy among the computed polymorphs = 0.100 eV/atom
Calculated volume = 36.6 Å³/atom

=====

CuMo2Os after structural relaxation, computed with PBE-GGA.

```
CuMo2Os
1.0
1.373 0.793 9.072
-1.373 0.793 9.072
0.000 -1.586 9.072
Cu Mo Os
1 2 1
direct
0.000 0.000 0.000
0.250 0.250 0.250
0.750 0.750 0.750
0.500 0.500 0.500
```

DFT formation energy = 0.229 eV per atom
Magnetization = 0.000 μB per cell
Space group = R-3m (166)
Relative energy among the computed polymorphs = 0.101 eV/atom
Calculated volume = 14.8 Å³/atom